(1)
# RbNa2Cr PBE-GGA optimized geometry
data_RbNa2Cr
_symmetry_space_group_name_H-M 'I -4 2 d'
_symmetry_Int_Tables_number 122
_symmetry_space_group_name_Hall 'I -4 2bw'
_cell_length_a 9.7160
_cell_length_b 9.7160
_cell_length_c 7.3825
_cell_angle_alpha 90.00
_cell_angle_beta 90.00
_cell_angle_gamma 90.00
loop_
_atom_site_label
_atom_site_type_symbol
_atom_site_fract_x
_atom_site_fract_y
_atom_site_fract_z
Rb1 Rb 0.0000 0.0000 0.0000
Na1 Na 0.1883 0.2500 0.6250
Cr1 Cr 0.0000 0.0000 0.5000
# Calculated volume (Å³ per cell): 696.9
# Energy relative to the lowest polymorph listed for this composition (kJ/mol of atoms): 5.9
# Total DFT energy (no corrections) (eV/atom): -2.6066
# Formation energy (eV per atom): 0.70

(2)
# CeZr2Tl3Te6 PBE-GGA optimized geometry
data_CeZr2Tl3Te6
_symmetry_space_group_name_H-M 'C 1 2/m 1'
_symmetry_Int_Tables_number 12
_cell_length_a 7.3654
_cell_length_b 12.8134
_cell_length_c 8.7444
_cell_angle_alpha 90.00
_cell_angle_beta 106.49
_cell_angle_gamma 90.00
loop_
_symmetry_equiv_pos_as_xyz
'x,y,z'
'-x,-y,-z'
'-x,y,-z'
'x,-y,z'
'x+1/2,y+1/2,z'
'-x+1/2,-y+1/2,-z'
'-x+1/2,y+1/2,-z'
'x+1/2,-y+1/2,z'
loop_
_atom_site_label
_atom_site_type_symbol
_atom_site_fract_x
_atom_site_fract_y
_atom_site_fract_z
Ce1 Ce 0.0000 0.0000 0.0000
Zr1 Zr 0.0000 0.3298 0.0000
Tl1 Tl 0.0000 0.1585 0.5000
Tl2 Tl 0.0000 0.5000 0.5000
Te1 Te 0.2162 0.5000 0.2065
Te2 Te 0.2479 0.1753 0.2147
# Calculated volume (Å³ per cell): 791.3
# ΔE_f (raw) (eV/atom): -0.749
# Total DFT energy (no corrections) (eV/atom): -4.8308

(3)
# SrFeN3 PBE-GGA optimized geometry
data_SrFeN3
_symmetry_space_group_name_H-M 'P m -3 m'
_symmetry_Int_Tables_number 221
_symmetry_space_group_name_Hall '-P 4 2 3'
_cell_length_a 4.3368
_cell_length_b 4.3368
_cell_length_c 4.3368
_cell_angle_alpha 90.00
_cell_angle_beta 90.00
_cell_angle_gamma 90.00
loop_
_atom_site_label
_atom_site_type_symbol
_atom_site_fract_x
_atom_site_fract_y
_atom_site_fract_z
Sr1 Sr 0.0000 0.0000 0.0000
Fe1 Fe 0.5000 0.5000 0.5000
N1 N 0.0000 0.0000 0.5000
# Calculated volume (Å³ per cell): 81.6
# ΔE_f (raw) (eV/atom): 3.036
# Total DFT energy (no corrections) (eV/atom): -3.9881

(4)
# BaIn2Hg4 PBE-GGA optimized geometry
data_BaIn2Hg4
_symmetry_space_group_name_H-M 'C m m m'
_symmetry_Int_Tables_number 65
_symmetry_space_group_name_Hall '-C 2 2'
_cell_length_a 5.3509
_cell_length_b 14.8186
_cell_length_c 5.1934
_cell_angle_alpha 90.00
_cell_angle_beta 90.00
_cell_angle_gamma 90.00
loop_
_atom_site_label
_atom_site_type_symbol
_atom_site_fract_x
_atom_site_fract_y
_atom_site_fract_z
Ba1 Ba 0.0000 0.0000 0.0000
In1 In 0.0000 0.4027 0.5000
Hg1 Hg 0.0000 0.1774 0.5000
Hg2 Hg 0.0000 0.3069 0.0000
# Calculated volume (Å³ per cell): 411.8
# Energy relative to the lowest polymorph listed for this composition (kJ/mol of atoms): 0.0
# Total DFT energy (no corrections) (eV/atom): -1.4720
# Formation energy (eV per atom): -0.24